VASP calculation (GGA-PBE) on Ce2Pm2Ir3 after structural relaxation.

The structure in POSCAR format:
```
Ce2Pm2Ir3
1.0
7.161 0.000 -2.532
-3.581 6.202 -2.532
0.000 0.000 7.596
Ce Pm Ir
4 4 6
Direct
0.000 0.000 0.885
0.385 0.500 0.000
0.115 0.615 0.615
0.500 0.885 0.500
0.000 0.000 0.373
0.500 0.373 0.500
0.627 0.127 0.127
0.873 0.500 0.000
0.881 0.250 0.631
0.750 0.631 0.381
0.619 0.750 0.869
0.250 0.869 0.119
0.131 0.381 0.250
0.369 0.119 0.750
```

Calculated values
relative energy among the computed polymorphs: 0.00 eV/f.u.
spin magnetization: 1.148 μB/f.u.
DOS(E_F): 1.3710 states/eV/atom
raw total energy: -7.520 eV per atom
energy relative to the elements: -0.67 eV per atom
volume: 24.1 A^3/atom
symmetry: No. 199